1.
# TlRu2Cl

A geometry-optimized TlRu2Cl structure (PBE-GGA, Alexandria via LeMat-Bulk).

Computed properties:
Density of states at the Fermi level = 2.58 states/eV/f.u.
E_form (uncorrected) = 92 kJ per mole of atoms
ρ = 10.04 g/cm³

Cell lengths 4.924, 4.924, 4.924 Å; angles 127.38, 127.38, 77.63 degrees
Last column: magnetic moment on the atom in μB.
Atoms (fractional coordinates):
Cl 0.750 0.250 0.500  0.12
Ru 0.000 0.000 0.000  1.75
Tl 0.500 0.500 0.000  -0.01
Ru 0.250 0.750 0.500  1.65

=====

2.
# TlRuCl3

A geometry-optimized TlRuCl3 structure (PBE-GGA, Alexandria via LeMat-Bulk).

Computed properties:
Density of states at the Fermi level = 4.99 states/eV/f.u.
E_form (uncorrected) = -41 kJ per mole of atoms
ρ = 5.68 g/cm³

Cell lengths 4.938, 4.938, 4.938 Å; angles 90.00, 90.00, 90.00 degrees
Last column: magnetic moment on the atom in μB.
Atoms (fractional coordinates):
Ru 0.000 0.000 0.000  1.37
Cl 0.000 0.000 0.500  0.03
Cl 0.000 0.500 0.000  0.03
Tl 0.500 0.500 0.500  0.01
Cl 0.500 0.000 0.000  0.06

=====

3.
# TlRuCl6

A geometry-optimized TlRuCl6 structure (PBE-GGA, Alexandria via LeMat-Bulk).

Computed properties:
Density of states at the Fermi level = 1.27 states/eV/f.u.
E_form (uncorrected) = -58 kJ per mole of atoms
ρ = 3.56 g/cm³

Cell lengths 6.807, 6.807, 10.848 Å; angles 89.01, 89.01, 73.92 degrees
Last column: magnetic moment on the atom in μB.
Atoms (fractional coordinates):
Tl 0.990 0.010 0.750  0.07
Cl 0.268 0.597 0.408  0.14
Cl 0.869 0.471 0.307  0.12
Cl 0.806 0.842 0.505  0.10
Cl 0.194 0.158 0.495  0.10
Cl 0.842 0.806 0.005  0.10
Cl 0.403 0.732 0.092  0.14
Cl 0.158 0.194 0.995  0.10
Cl 0.529 0.131 0.193  0.12
Cl 0.732 0.403 0.592  0.14
Cl 0.471 0.869 0.807  0.12
Tl 0.010 0.990 0.250  0.07
Cl 0.597 0.268 0.908  0.14
Cl 0.131 0.529 0.693  0.12
Ru 0.500 0.000 0.000  1.81
Ru 0.000 0.500 0.500  1.81

=====

4.
# TlRu2Cl

A geometry-optimized TlRu2Cl structure (PBE-GGA, Alexandria via LeMat-Bulk).

Computed properties:
Density of states at the Fermi level = 2.56 states/eV/f.u.
E_form (uncorrected) = 104 kJ per mole of atoms
ρ = 8.26 g/cm³

Cell lengths 5.982, 5.982, 6.522 Å; angles 62.70, 62.70, 90.00 degrees
Atoms (fractional coordinates):
Ru 0.875 0.803 0.750
Ru 0.553 0.125 0.250
Cl 0.250 0.750 0.500
Ru 0.375 0.447 0.750
Tl 0.000 0.000 0.000
Ru 0.197 0.625 0.250
Cl 0.500 0.500 0.000
Tl 0.750 0.250 0.500

=====

5.
# TlRuCl2

A geometry-optimized TlRuCl2 structure (PBE-GGA, Alexandria via LeMat-Bulk).

Computed properties:
Density of states at the Fermi level = 0.00 states/eV/f.u.
E_form (uncorrected) = 25 kJ per mole of atoms
ρ = 6.77 g/cm³

Cell lengths 5.072, 5.072, 5.072 Å; angles 60.00, 60.00, 60.00 degrees
Last column: magnetic moment on the atom in μB.
Atoms (fractional coordinates):
Cl 0.750 0.750 0.750  0.08
Cl 0.250 0.250 0.250  0.08
Tl 0.500 0.500 0.500  0.01
Ru 0.000 0.000 0.000  2.60

=====

6.
# Tl2RuCl6

A geometry-optimized Tl2RuCl6 structure (PBE-GGA, Alexandria via LeMat-Bulk).

Computed properties:
Density of states at the Fermi level = 5.67 states/eV/f.u.
E_form (uncorrected) = -73 kJ per mole of atoms
ρ = 4.64 g/cm³

Cell lengths 6.157, 6.964, 6.964 Å; angles 60.08, 89.34, 89.34 degrees
Last column: magnetic moment on the atom in μB.
Atoms (fractional coordinates):
Cl 0.217 0.840 0.318  0.06
Cl 0.219 0.839 0.839  0.06
Cl 0.781 0.161 0.161  0.06
Ru 0.000 0.000 0.000  1.37
Tl 0.812 0.668 0.668  0.02
Tl 0.188 0.332 0.332  0.02
Cl 0.783 0.160 0.682  0.06
Cl 0.783 0.682 0.160  0.06
Cl 0.217 0.318 0.840  0.06